# 1
First-principles (PBE-GGA) data for crystalline VSnTe at its relaxed geometry, as listed in Alexandria.

Output
Distance to the lowest polymorph of the same formula (meV/atom): 0.0
Space group: C2/m
Raw formation energy (eV/atom): -0.06
Fermi-level density of states (states/eV/f.u.): 1.72

```
6
Lattice="-0.597 0.084 -4.266 1.532 -5.264 -0.318 -5.918 -0.474 2.995" Properties=species:S:1:pos:R:3 pbc="T T T"
V -3.658 -0.829 -1.680
V -1.325 -4.826 0.091
Sn -3.354 -3.611 -1.777
Sn -1.629 -2.043 0.188
Te -4.962 -1.296 0.669
Te -0.021 -4.359 -2.259
```

***

# 2
First-principles (PBE-GGA) data for crystalline VSnTe at its relaxed geometry, as listed in Alexandria.

Output
Distance to the lowest polymorph of the same formula (meV/atom): 116.0
Space group: Pnma
Raw formation energy (eV/atom): 0.05
Fermi-level density of states (states/eV/f.u.): 2.89

```
12
Lattice="4.104 0.000 0.000 0.000 6.979 0.000 0.000 0.000 9.683" Properties=species:S:1:pos:R:3 pbc="T T T"
Sn 1.026 1.169 0.077
Sn 3.078 4.658 4.764
Sn 1.026 2.321 4.919
Sn 3.078 5.810 9.606
V 1.026 3.954 0.605
V 3.078 0.464 4.237
V 1.026 6.515 5.446
V 3.078 3.025 9.078
Te 3.078 0.602 7.064
Te 3.078 2.887 2.223
Te 1.026 4.092 7.460
Te 1.026 6.376 2.619
```

***

# 3
First-principles (PBE-GGA) data for crystalline VSnTe3 at its relaxed geometry, as listed in Alexandria.

Output
Distance to the lowest polymorph of the same formula (meV/atom): 0.0
Space group: Pnma
Raw formation energy (eV/atom): -0.24
Fermi-level density of states (states/eV/f.u.): 3.84

```
20
Lattice="3.917 0.000 0.000 0.000 9.521 0.000 0.000 0.000 15.627" Properties=species:S:1:pos:R:3 pbc="T T T"
Sn 0.979 9.364 2.344
Sn 0.979 4.604 5.470
Sn 2.938 4.917 10.157
Sn 2.938 0.156 13.283
Te 0.979 7.787 15.422
Te 2.938 5.018 13.789
Te 0.979 4.502 1.837
Te 0.979 9.263 5.976
Te 2.938 7.257 3.110
Te 2.938 2.497 4.703
Te 2.938 6.494 7.609
Te 2.938 1.734 0.204
Te 0.979 3.027 8.018
Te 0.979 2.263 12.517
Te 2.938 0.258 9.651
Te 0.979 7.023 10.924
V 2.938 1.243 7.182
V 2.938 6.004 0.631
V 0.979 8.277 8.445
V 0.979 3.517 14.995
```

***

# 4
First-principles (PBE-GGA) data for crystalline VSn2Te at its relaxed geometry, as listed in Alexandria.

Output
Space group: I-42d
Raw formation energy (eV/atom): 0.55
Fermi-level density of states (states/eV/f.u.): 2.71

```
8
Lattice="6.491 0.000 0.000 0.000 6.491 0.000 3.245 3.245 6.721" Properties=species:S:1:pos:R:3 pbc="T T T"
Te 6.491 3.245 3.361
Te 0.000 0.000 0.000
Sn 1.852 4.868 1.680
Sn 4.868 5.098 5.041
Sn 4.638 1.623 1.680
Sn 8.113 7.884 5.041
V 3.245 6.491 3.361
V 3.245 3.245 0.000
```

***

How do the records compare in V? In the order shown, they have 24.2, 23.1, 29.1, 35.4 Å³/atom.
How do the records compare in total magnetization? In the order shown, they have 0.0, 0.0, 6.1, 5.7 Bohr magnetons per cell.